Entry 1:
AlOsSe | Alexandria via LeMat-Bulk | meta-GGA SCAN | PBEsol geometry; E above lowest polymorph = 0.343 eV per atom; symmetry = Fmm2, No. 42; formation energy from raw total energies = 0.49 eV/atom; E = -98.25 eV for the cell shown
1.0
-2.578 0.999 0.718
0.431 -0.638 -2.751
-0.983 -6.271 2.106
Os Al Se
1 1 1
Direct
0.662 0.662 0.324
0.010 0.010 0.021
0.328 0.328 0.655

=====

Entry 2:
AlOsSe | Alexandria via LeMat-Bulk | meta-GGA SCAN | PBEsol geometry; E above lowest polymorph = 0.000 eV per atom; symmetry = P3m1, No. 156; formation energy from raw total energies = 0.14 eV/atom; E = -99.28 eV for the cell shown
1.0
3.074 0.000 0.000
-1.537 2.662 0.000
0.000 0.000 5.754
Os Al Se
1 1 1
Direct
0.333 0.667 0.668
0.000 0.000 0.985
0.667 0.333 0.347

=====

> Which of these has the lowest E?

number 2

=====

> The highest E belongs to which entry?

number 1

=====

> Which value of E does entry 1 give?

-98.25 eV for the cell shown

=====

> Which value of E above lowest polymorph does entry 1 give?

0.343 eV per atom